[1]
Here is a relaxed SnBiOs2 crystal from Alexandria. Energies are from PBE.

Lattice parameters (Å, degrees): 6.022 6.022 12.272 90.00 90.00 90.00
Space group I-42d (No. 122)
One atom of each set of equivalent atoms:
Sn 0.000 0.000 0.000
Bi 0.000 0.000 0.500
Os 0.243 0.250 0.125

Computed properties:
- Energy of formation from the pure elements: 140.2 kJ/mol of atoms

[2]
Here is a relaxed MgNb2CrCo crystal from Alexandria. Energies are from PBE.

Lattice parameters (Å, degrees): 4.778 4.778 4.392 90.00 90.00 90.00
Space group P4/mmm (No. 123)
One atom of each set of equivalent atoms:
Mg 0.000 0.000 0.000
Nb 0.000 0.500 0.000
Cr 0.000 0.000 0.500
Co 0.500 0.500 0.500

Computed properties:
- Energy of formation from the pure elements: 193.4 kJ/mol of atoms

[3]
Here is a relaxed Er2MnCu crystal from Alexandria. Energies are from PBE.

Lattice parameters (Å, degrees): 3.415 3.415 7.084 90.00 90.00 90.00
Space group P4/mmm (No. 123)
One atom of each set of equivalent atoms:
Er 0.000 0.000 0.248
Mn 0.500 0.500 0.500
Cu 0.500 0.500 0.000

Computed properties:
- Energy of formation from the pure elements: -5.2 kJ/mol of atoms

[4]
Here is a relaxed ThInAgHg crystal from Alexandria. Energies are from PBE.

Lattice parameters (Å, degrees): 7.304 7.304 7.304 90.00 90.00 90.00
Space group F-43m (No. 216)
One atom of each set of equivalent atoms:
Th 0.000 0.000 0.000
In 0.000 0.000 0.500
Ag 0.250 0.250 0.750
Hg 0.250 0.250 0.250

Computed properties:
- Energy of formation from the pure elements: -20.9 kJ/mol of atoms

[5]
Here is a relaxed Pm7Pr2Nd3 crystal from Alexandria. Energies are from PBE.

Lattice parameters (Å, degrees): 6.520 3.609 18.011 90.00 96.27 90.00
Space group P2/m (No. 10)
One atom of each set of equivalent atoms:
Pm 0.000 0.000 0.000
Pm 0.226 0.500 0.167
Pm 0.257 0.500 0.499
Pm 0.273 0.000 0.835
Pr 0.056 0.500 0.671
Nd 0.453 0.000 0.339
Nd 0.500 0.500 0.000

Computed properties:
- Energy of formation from the pure elements: 6.7 kJ/mol of atoms

[6]
Here is a relaxed LaMgTe2 crystal from Alexandria. Energies are from PBE.

Lattice parameters (Å, degrees): 4.2881 4.2881 22.9231 90.00 90.00 120.00
Space group R-3m (No. 166, hexagonal axes)
One atom of each set of equivalent atoms:
La 0.0000 0.0000 0.0000
Mg 0.0000 0.0000 0.5000
Te 0.0000 0.0000 0.2402

Computed properties:
- Raw formation energy: -1.1068 eV/atom

[7]
Here is a relaxed Sm3Y2In2 crystal from Alexandria. Energies are from PBE.

Lattice parameters (Å, degrees): 5.4597 5.4597 24.3070 90.00 90.00 120.00
Space group R-3m (No. 166, hexagonal axes)
One atom of each set of equivalent atoms:
Sm 0.0000 0.0000 0.0000
Sm 0.0000 0.0000 0.1551
Y 0.0000 0.0000 0.4236
In 0.0000 0.0000 0.2845

Computed properties:
- Energy of formation from the pure elements: -27.3 kJ/mol of atoms

[8]
Here is a relaxed La2InBr8 crystal from Alexandria. Energies are from PBE.

Lattice parameters (Å, degrees): 12.185 9.459 7.326 90.00 105.90 90.00
Space group C2/m (No. 12)
One atom of each set of equivalent atoms:
La 0.180 0.000 0.446
In 0.000 0.500 0.000
Br 0.067 0.000 0.759
Br 0.146 0.306 0.288
Br 0.164 0.500 0.792

Computed properties:
- Raw formation energy: -1.5731 eV/atom

[9]
Here is a relaxed TaPdSe6 crystal from Alexandria. Energies are from PBE.

Lattice parameters (Å, degrees): 6.189 6.286 6.330 68.83 60.90 61.86
Space group P-1 (No. 2)
One atom of each set of equivalent atoms:
Ta 0.000 0.000 0.000
Pd 0.500 0.500 0.500
Se 0.024 0.736 0.772
Se 0.307 0.180 0.576
Se 0.416 0.683 0.090

Computed properties:
- Raw formation energy: -0.2422 eV/atom

[10]
Here is a relaxed ThTi2In crystal from Alexandria. Energies are from PBE.

Lattice parameters (Å, degrees): 4.722 4.722 3.860 90.00 90.00 90.00
Space group P4/mmm (No. 123)
One atom of each set of equivalent atoms:
Th 0.000 0.000 0.000
Ti 0.000 0.500 0.500
In 0.500 0.500 0.000

Computed properties:
- Energy of formation from the pure elements: -1.9 kJ/mol of atoms

[11]
Here is a relaxed Li2ScFe crystal from Alexandria. Energies are from PBE.

Lattice parameters (Å, degrees): 6.338 6.338 6.338 90.00 90.00 90.00
Space group Fm-3m (No. 225)
One atom of each set of equivalent atoms:
Li 0.250 0.250 0.250
Sc 0.000 0.000 0.000
Fe 0.000 0.000 0.500

Computed properties:
- Energy of formation from the pure elements: 34.3 kJ/mol of atoms

[12]
Here is a relaxed LaZrRh4 crystal from Alexandria. Energies are from PBE.

Lattice parameters (Å, degrees): 7.555 7.555 7.555 90.00 90.00 90.00
Space group F-43m (No. 216)
One atom of each set of equivalent atoms:
La 0.000 0.000 0.000
Zr 0.250 0.250 0.250
Rh 0.124 0.124 0.624

Computed properties:
- Energy of formation from the pure elements: -54.2 kJ/mol of atoms

Respective calculated total energy values: -6.13; -5.69; -5.65; -3.54; -4.69; -4.31; -4.93; -3.93; -4.99; -6.51; -4.30; -7.71 eV per atom.